VASP calculation (PBE-GGA) on RbOsPbO5 after structural relaxation. Values from VASP.

```
&SYSTEM
  ibrav = 0, nat = 16, ntyp = 4
/
ATOMIC_SPECIES
Rb 85.47 Rb.upf
Os 190.23 Os.upf
Pb 207.20 Pb.upf
O 16.00 O.upf
CELL_PARAMETERS angstrom
3.7679 -5.4650 0.0000
3.7679 5.4650 0.0000
-2.8256 0.0000 7.8333
ATOMIC_POSITIONS crystal
Rb 0.1771 0.8229 0.7500
Rb 0.8229 0.1771 0.2500
Os 0.1750 0.8250 0.2500
Os 0.8250 0.1750 0.7500
Pb 0.5000 0.5000 0.0000
Pb 0.5000 0.5000 0.5000
O 0.0648 0.2080 0.9101
O 0.2025 0.6410 0.3775
O 0.2080 0.0648 0.4101
O 0.3590 0.7975 0.1225
O 0.4371 0.5629 0.7500
O 0.5629 0.4371 0.2500
O 0.6410 0.2025 0.8775
O 0.7920 0.9352 0.5899
O 0.7975 0.3590 0.6225
O 0.9352 0.7920 0.0899
```

Computed properties:
D(E_F): 0.51 states/eV per atom
V: 322.6 Å³/cell
crystal system: monoclinic
SG: C2/c
total moment: 0.30 μB per formula unit
total energy: -49.3 eV per formula unit
raw formation energy: -8.60 eV/f.u.